A geometry-optimized Rb2GaAgHg structure. Source: Alexandria, functional GGA-PBE.

Structure (extended XYZ):
```
5
Lattice="-0.798 -5.345 4.192 -2.924 -3.539 -5.069 4.415 -1.717 -1.349" Properties=species:S:1:pos:R:3 pbc="T T T"
Rb -1.462 -1.770 -2.535
Hg 0.347 -5.300 -1.113
Ga 2.208 -0.858 -0.674
Rb -0.399 -2.672 2.096
Ag 0.000 0.000 0.000
```

Results
The value obtained for the total magnetic moment is 0.19 μB/cell. The calculation puts the formation energy at 48 meV/atom. The space group is P4/mmm, No. 123.


A geometry-optimized Ga2AgHgRu structure. Source: Alexandria, functional GGA-PBE.

Structure (extended XYZ):
```
5
Lattice="4.737 0.000 0.000 0.000 5.294 0.000 0.000 0.000 4.737" Properties=species:S:1:pos:R:3 pbc="T T T"
Ag 2.368 2.647 2.368
Hg 0.000 2.647 0.000
Ga 0.000 0.000 2.368
Ru 0.000 0.000 0.000
Ga 2.368 0.000 0.000
```

Results
The value obtained for the total magnetic moment is 0.00 μB/cell. The calculation puts the formation energy at 305 meV/atom. The space group is P4/mmm, No. 123. The value obtained for the energy above the lowest structure with this stoichiometry is 0.000 eV per atom.


A geometry-optimized Ga2AgHgRu structure. Source: Alexandria, functional GGA-PBE.

Structure (extended XYZ):
```
5
Lattice="-2.647 -3.852 -1.051 -0.352 -1.155 5.121 -3.979 2.647 0.323" Properties=species:S:1:pos:R:3 pbc="T T T"
Ga -1.324 -1.926 -0.525
Ga -1.990 1.323 0.162
Ag 0.000 0.000 0.000
Ru -0.176 -0.577 2.561
Hg -3.490 -1.180 2.197
```

Results
The value obtained for the total magnetic moment is 2.46 μB/cell. The calculation puts the formation energy at 942 meV/atom. The space group is P4/mmm, No. 123. The value obtained for the energy above the lowest structure with this stoichiometry is 0.637 eV per atom.


A geometry-optimized ScGaAgHg structure. Source: Alexandria, functional GGA-PBE.

Structure (extended XYZ):
```
4
Lattice="-4.694 0.626 -0.656 -2.374 -2.776 -3.084 -3.096 -3.265 1.616" Properties=species:S:1:pos:R:3 pbc="T T T"
Hg 0.000 0.000 0.000
Ag -2.541 -1.354 -0.531
Sc -7.623 -4.061 -1.593
Ga -5.082 -2.708 -1.062
```

Results
The value obtained for the total magnetic moment is 0.00 μB/cell. The calculation puts the formation energy at -267 meV/atom. The space group is F-43m, No. 216.


A geometry-optimized Sc4GaAg2Hg structure. Source: Alexandria, functional GGA-PBE.

Structure (extended XYZ):
```
8
Lattice="-3.467 -2.040 2.738 -4.033 -1.750 -2.086 1.005 -8.344 -0.620" Properties=species:S:1:pos:R:3 pbc="T T T"
Hg 0.000 0.000 0.000
Ag -1.628 -3.026 0.009
Sc -0.335 -5.637 -0.300
Sc -6.160 -6.497 0.332
Sc -4.536 -3.465 0.324
Sc -1.959 -8.670 -0.292
Ag -4.867 -9.109 0.023
Ga -3.247 -6.067 0.016
```

Results
The value obtained for the total magnetic moment is 0.00 μB/cell. The calculation puts the formation energy at -411 meV/atom. The space group is R-3m, No. 166.


A geometry-optimized SmGaAgHg structure. Source: Alexandria, functional GGA-PBE.

Structure (extended XYZ):
```
4
Lattice="-0.031 1.869 -4.619 -3.769 -1.048 -3.086 -3.274 3.549 -1.230" Properties=species:S:1:pos:R:3 pbc="T T T"
Ag -5.306 3.278 -6.701
Hg 0.000 0.000 0.000
Sm -1.769 1.093 -2.234
Ga -3.537 2.185 -4.468
```

Results
The value obtained for the total magnetic moment is 0.00 μB/cell. The calculation puts the formation energy at -343 meV/atom. The space group is F-43m, No. 216.